Entry 1:
Density functional theory data (PBE) for a relaxed Sr2CdAg2Pd5 crystal.

Unit cell a=4.050 b=10.063 c=10.063 alpha=90.00 beta=90.00 gamma=90.00
Fractional positions:
Sr: 0.000 0.674 0.174
Sr: 0.000 0.326 0.826
Sr: 0.000 0.174 0.326
Sr: 0.000 0.826 0.674
Cd: 0.000 0.000 0.000
Cd: 0.000 0.500 0.500
Ag: 0.000 0.125 0.625
Ag: 0.000 0.875 0.375
Ag: 0.000 0.625 0.875
Ag: 0.000 0.375 0.125
Pd: 0.500 0.198 0.057
Pd: 0.500 0.802 0.943
Pd: 0.500 0.057 0.802
Pd: 0.500 0.698 0.443
Pd: 0.500 0.943 0.198
Pd: 0.500 0.302 0.557
Pd: 0.500 0.557 0.698
Pd: 0.500 0.443 0.302
Pd: 0.500 0.500 0.000
Pd: 0.500 0.000 0.500

Space group: P4/mbm (127)
Energy relative to the elements (meV/atom): -378
Calculated total energy (Ry per atom): -0.2920

Entry 2:
Density functional theory data (PBE) for a relaxed TiVCr2 crystal.

Unit cell a=2.962 b=2.962 c=6.010 alpha=90.00 beta=90.00 gamma=90.00
Site moments in Bohr magnetons follow the coordinates.
Fractional positions:
Cr: 0.000 0.000 0.765  0.39
Cr: 0.000 0.000 0.235  0.39
Ti: 0.500 0.500 0.500  0.00
V: 0.500 0.500 0.000  -0.12

Space group: P4/mmm (123)
Energy relative to the elements (meV/atom): 10
Calculated total energy (Ry per atom): -0.6655

Entry 3:
Density functional theory data (PBE) for a relaxed LiW2S6 crystal.

Unit cell a=4.562 b=6.228 c=8.210 alpha=68.32 beta=73.87 gamma=68.51
Fractional positions:
Li: 0.000 0.500 0.500
W: 0.182 0.774 0.863
W: 0.818 0.226 0.137
S: 0.689 0.668 0.954
S: 0.311 0.332 0.046
S: 0.992 0.821 0.196
S: 0.337 0.726 0.599
S: 0.008 0.179 0.804
S: 0.663 0.274 0.401

Space group: C2/m (12)
Calculated total energy (Ry per atom): -0.4607

Entry 4:
Density functional theory data (PBE) for a relaxed Te2RhBr crystal.

Unit cell a=4.996 b=4.996 c=4.996 alpha=60.00 beta=60.00 gamma=60.00
Fractional positions:
Te: 0.250 0.250 0.250
Te: 0.750 0.750 0.750
Rh: 0.500 0.500 0.500
Br: 0.000 0.000 0.000

Space group: Fm-3m (225)
Calculated total energy (Ry per atom): -0.2552

Entry 5:
Density functional theory data (PBE) for a relaxed KReGeRh2 crystal.

Unit cell a=4.560 b=5.062 c=4.560 alpha=90.00 beta=90.00 gamma=90.00
Site moments in Bohr magnetons follow the coordinates.
Fractional positions:
Re: 0.500 0.500 0.500  2.60
Ge: 0.000 0.500 0.000  -0.13
Rh: 0.000 0.000 0.500  0.02
Rh: 0.500 0.000 0.000  0.11
K: 0.000 0.000 0.000  -0.02

Space group: P4/mmm (123)
Energy relative to the elements (meV/atom): 2662
Calculated total energy (Ry per atom): -0.2875

Entry 6:
Density functional theory data (PBE) for a relaxed BaScTe2 crystal.

Unit cell a=4.636 b=4.642 c=6.566 alpha=90.00 beta=90.00 gamma=90.00
Site moments in Bohr magnetons follow the coordinates.
Fractional positions:
Ba: 0.000 0.000 0.375  0.00
Sc: 0.500 0.500 0.888  0.12
Te: 0.000 0.000 0.875  0.00
Te: 0.500 0.500 0.361  0.00

Space group: P4mm (99)
Calculated total energy (Ry per atom): -0.3509

Entry 7:
Density functional theory data (PBE) for a relaxed CsSbPb crystal.

Unit cell a=4.707 b=4.707 c=20.985 alpha=90.00 beta=90.00 gamma=120.00
Fractional positions:
Cs: 0.000 0.000 0.579
Cs: 0.333 0.667 0.245
Cs: 0.667 0.333 0.912
Sb: 0.000 0.000 0.368
Sb: 0.333 0.667 0.035
Sb: 0.667 0.333 0.702
Pb: 0.000 0.000 0.102
Pb: 0.333 0.667 0.769
Pb: 0.667 0.333 0.435

Space group: R3m (160)
Calculated total energy (Ry per atom): -0.2364

Entry 8:
Density functional theory data (PBE) for a relaxed Hf2ThTa crystal.

Unit cell a=3.203 b=3.203 c=10.812 alpha=81.48 beta=81.48 gamma=60.00
Fractional positions:
Hf: 0.259 0.259 0.223
Hf: 0.741 0.741 0.777
Th: 0.500 0.500 0.500
Ta: 0.000 0.000 0.000

Space group: R-3m (166)
Energy relative to the elements (meV/atom): 279
Calculated total energy (Ry per atom): -0.6994

Entry 9:
Density functional theory data (PBE) for a relaxed Cd2C crystal.

Unit cell a=4.700 b=4.700 c=2.872 alpha=90.00 beta=90.00 gamma=120.00
Fractional positions:
C: 0.000 0.000 0.000
Cd: 0.333 0.667 0.500
Cd: 0.667 0.333 0.500

Space group: P6/mmm (191)
Energy relative to the elements (meV/atom): 1865
Calculated total energy (Ry per atom): -0.1337

Entry 10:
Density functional theory data (PBE) for a relaxed Th4GaPS2 crystal.

Unit cell a=4.188 b=7.100 c=7.231 alpha=69.97 beta=90.00 gamma=90.00
Fractional positions:
Th: 0.000 0.750 0.755
Th: 0.000 0.250 0.245
Th: 0.500 0.755 0.243
Th: 0.500 0.245 0.757
Ga: 0.000 0.500 0.500
P: 0.500 0.500 0.000
S: 0.000 0.000 0.000
S: 0.500 0.000 0.500

Space group: P2/m (10)
Calculated total energy (Ry per atom): -0.5278

Entry 11:
Density functional theory data (PBE) for a relaxed MgCd12In3 crystal.

Unit cell a=4.528 b=4.528 c=18.118 alpha=90.00 beta=90.00 gamma=90.00
Fractional positions:
Mg: 0.000 0.000 0.000
Cd: 0.500 0.500 0.000
Cd: 0.500 0.500 0.247
Cd: 0.500 0.500 0.500
Cd: 0.500 0.500 0.753
Cd: 0.500 0.000 0.118
Cd: 0.500 0.000 0.373
Cd: 0.500 0.000 0.627
Cd: 0.500 0.000 0.882
Cd: 0.000 0.500 0.118
Cd: 0.000 0.500 0.373
Cd: 0.000 0.500 0.627
Cd: 0.000 0.500 0.882
In: 0.000 0.000 0.245
In: 0.000 0.000 0.500
In: 0.000 0.000 0.755

Space group: P4/mmm (123)
Energy relative to the elements (meV/atom): 9
Calculated total energy (Ry per atom): -0.0948